The following is a DFT calculation (PBE) of a geometry-optimized KTa3Pd4Se12 structure.

a = 9.0900 Å, b = 9.0900 Å, c = 9.0900 Å
α = 111.14°, β = 111.14°, γ = 111.14°
Positions (direct):
K  0.0000  0.0000  0.0000
Ta  0.0000  0.5553  0.4447
Ta  0.4447  0.0000  0.5553
Ta  0.5553  0.4447  0.0000
Pd  0.0538  0.5000  0.9462
Pd  0.5000  0.5000  0.5000
Pd  0.5000  0.9462  0.0538
Pd  0.9462  0.0538  0.5000
Se  0.1074  0.8926  0.5000
Se  0.1531  0.6729  0.7841
Se  0.2159  0.3271  0.8469
Se  0.3271  0.8469  0.2159
Se  0.3352  0.6648  0.5000
Se  0.5000  0.1074  0.8926
Se  0.5000  0.3352  0.6648
Se  0.6648  0.5000  0.3352
Se  0.6729  0.7841  0.1531
Se  0.7841  0.1531  0.6729
Se  0.8469  0.2159  0.3271
Se  0.8926  0.5000  0.1074

Values from the calculation:
space-group type = R32, No. 155

The following is a DFT calculation (PBE) of a geometry-optimized KTePd4Se2 structure.

a = 4.3792 Å, b = 4.3792 Å, c = 9.4052 Å
α = 90.00°, β = 90.00°, γ = 90.00°
Positions (direct):
K  0.0000  0.0000  0.0000
Te  0.0000  0.0000  0.5000
Pd  0.0000  0.5000  0.3290
Pd  0.0000  0.5000  0.6710
Pd  0.5000  0.0000  0.3290
Pd  0.5000  0.0000  0.6710
Se  0.5000  0.5000  0.1915
Se  0.5000  0.5000  0.8085

Values from the calculation:
space-group type = P4/mmm, No. 123

no.,formation energy without anion corrections (eV per atom)
1,-0.365
2,-0.439